Arrangement w

Material: ErUS3
Method: DFT, PBE
State: optimized geometry

abc: 6.972 6.972 6.918
angles: 90.00 90.00 120.00
Fractional coordinates of all 10 atoms:
Er 0.000 0.000 0.000
Er 0.000 0.000 0.500
U 0.333 0.667 0.000
U 0.333 0.667 0.500
S 0.073 0.330 0.250
S 0.073 0.743 0.750
S 0.257 0.330 0.750
S 0.257 0.927 0.250
S 0.670 0.743 0.250
S 0.670 0.927 0.750

Calculated values
Magnetization   0.52 μB per atom
Symmetry   P-6c2 (188)

---

Arrangement x

Material: ErUS3
Method: DFT, PBE
State: optimized geometry

abc: 7.275 3.877 14.918
angles: 90.00 90.00 90.00
Fractional coordinates of all 20 atoms:
Er 0.239 0.250 0.043
Er 0.261 0.750 0.543
Er 0.739 0.250 0.457
Er 0.761 0.750 0.957
U 0.134 0.750 0.292
U 0.366 0.250 0.792
U 0.634 0.750 0.208
U 0.866 0.250 0.708
S 0.009 0.750 0.107
S 0.124 0.250 0.432
S 0.147 0.750 0.721
S 0.353 0.250 0.221
S 0.376 0.750 0.932
S 0.491 0.250 0.607
S 0.509 0.750 0.393
S 0.624 0.250 0.068
S 0.647 0.750 0.779
S 0.853 0.250 0.279
S 0.876 0.750 0.568
S 0.991 0.250 0.893

Calculated values
Magnetization   0.55 μB per atom
Symmetry   Pnma (62)

---

Stability, highest: arrangement x